[1]
Density functional theory data (PBE-GGA) for a relaxed structure of Sb2TePF.

Its uncorrected formation energy is 0.3020 eV/atom. The calculation puts the total energy at -17.158 eV per cell. The space group is P4/mmm, No. 123. The value obtained for the total magnetization is 0.0 μB/cell.

a = 5.1418 Å, b = 5.1418 Å, c = 5.2830 Å
α = 90.00°, β = 90.00°, γ = 90.00°
Atoms (fractional coordinates):
Sb1 0.0000 0.5000 0.0000
Sb2 0.5000 0.0000 0.0000
Te1 0.0000 0.0000 0.5000
P1 0.0000 0.0000 0.0000
F1 0.5000 0.5000 0.5000

[2]
Density functional theory data (PBE-GGA) for a relaxed structure of Ac2Ag3Hg2.

The calculated formation energy comes out at -0.326 eV per atom. The calculation puts the total energy at -19.654 eV per cell. The space group is C2/m, No. 12. The value obtained for the total magnetization is 0.0 μB/cell.

a = 6.1152 Å, b = 6.1152 Å, c = 7.3268 Å
α = 107.12°, β = 107.12°, γ = 46.44°
Atoms (fractional coordinates):
Ac1 0.1374 0.1374 0.2620
Ac2 0.8626 0.8626 0.7380
Ag1 0.4008 0.4008 0.0830
Ag2 0.5000 0.5000 0.5000
Ag3 0.5992 0.5992 0.9170
Hg1 0.1620 0.1620 0.7358
Hg2 0.8380 0.8380 0.2642

[3]
Density functional theory data (PBE-GGA) for a relaxed structure of Rb2Na2Sn.

The calculated formation energy comes out at -0.052 eV per atom. The calculation puts the total energy at -17.674 eV per cell. The space group is C2/m, No. 12. The value obtained for the total magnetization is 0.0 μB/cell.

a = 7.7642 Å, b = 7.7642 Å, c = 12.5199 Å
α = 121.18°, β = 121.18°, γ = 47.37°
Atoms (fractional coordinates):
Rb1 0.1510 0.1510 0.4982
Rb2 0.1783 0.1783 0.8528
Rb3 0.8217 0.8217 0.1472
Rb4 0.8490 0.8490 0.5018
Na1 0.1454 0.1454 0.1601
Na2 0.4862 0.4862 0.8370
Na3 0.5138 0.5138 0.1630
Na4 0.8546 0.8546 0.8399
Sn1 0.4277 0.4277 0.3602
Sn2 0.5723 0.5723 0.6398